[1]
An optimized crystal structure of La3Cu2Si3. Source: the Alexandria database, functional GGA-PBE.

Unit cell a=5.905 b=5.905 c=15.447 alpha=90.00 beta=90.00 gamma=137.99
Fractional coordinates of all 16 atoms:
La  0.066  0.934  0.750
La  0.356  0.644  0.595
La  0.356  0.644  0.905
La  0.644  0.356  0.095
La  0.644  0.356  0.405
La  0.934  0.066  0.250
Cu  0.355  0.645  0.115
Cu  0.355  0.645  0.385
Cu  0.645  0.355  0.615
Cu  0.645  0.355  0.885
Si  0.077  0.923  0.554
Si  0.077  0.923  0.946
Si  0.223  0.777  0.250
Si  0.777  0.223  0.750
Si  0.923  0.077  0.054
Si  0.923  0.077  0.446

Results
Formation energy (no corrections): -0.618 eV per atom
DFT total energy: -5.52 eV/atom
N(E_F): 11.57 states/eV/cell

[2]
An optimized crystal structure of GaGe2Pd4. Source: the Alexandria database, functional GGA-PBE.

Unit cell a=6.387 b=6.387 c=9.275 alpha=90.00 beta=90.00 gamma=142.31
Fractional coordinates of all 14 atoms:
Ga  0.174  0.826  0.750
Ga  0.826  0.174  0.250
Ge  0.389  0.611  0.587
Ge  0.389  0.611  0.913
Ge  0.611  0.389  0.087
Ge  0.611  0.389  0.413
Pd  0.000  0.000  0.000
Pd  0.000  0.000  0.500
Pd  0.235  0.765  0.102
Pd  0.235  0.765  0.398
Pd  0.447  0.553  0.250
Pd  0.553  0.447  0.750
Pd  0.765  0.235  0.602
Pd  0.765  0.235  0.898

Results
DFT total energy: -5.10 eV/atom
N(E_F): 6.57 states/eV/cell
ΔH_f (0 K): -0.385 eV/atom

[3]
An optimized crystal structure of Mg2FeP. Source: the Alexandria database, functional GGA-PBE.

Unit cell a=2.950 b=2.950 c=26.007 alpha=90.00 beta=90.00 gamma=120.00
Fractional coordinates of all 12 atoms:
Mg  0.000  0.000  0.249
Mg  0.000  0.000  0.751
Mg  0.333  0.667  0.418
Mg  0.333  0.667  0.916
Mg  0.667  0.333  0.084
Mg  0.667  0.333  0.582
Fe  0.000  0.000  0.500
Fe  0.333  0.667  0.167
Fe  0.667  0.333  0.833
P  0.000  0.000  0.000
P  0.333  0.667  0.667
P  0.667  0.333  0.333

Results
DFT total energy: -4.09 eV/atom
N(E_F): 4.85 states/eV/cell
ΔH_f (0 K): 0.175 eV/atom